(1)
DFT (meta-GGA SCAN) results for P5Rh at its PBEsol-relaxed geometry.

Unit cell a=4.705 b=4.705 c=4.579 alpha=90.00 beta=90.00 gamma=120.00
Sites, in units of the cell vectors:
P: 0.000 0.726 0.000
P: 0.274 0.274 0.000
P: 0.333 0.667 0.500
P: 0.667 0.333 0.500
P: 0.726 0.000 0.000
Rh: 0.000 0.000 0.500

Summary:
- excess energy over the best structure of this formula in the dataset (meV/atom) = 0
- ΔH_f (0 K) (eV per atom) = 0.5709
- magnetic moment (μB per formula unit) = 0.0
- raw total energy (eV for the cell shown) = -82.339

***

(2)
DFT (meta-GGA SCAN) results for IrCCl2 at its PBEsol-relaxed geometry.

Unit cell a=6.609 b=6.609 c=6.609 alpha=94.79 beta=94.79 gamma=146.42
Sites, in units of the cell vectors:
Ir: 0.000 0.000 0.000
Ir: 0.750 0.250 0.500
C: 0.250 0.750 0.500
C: 0.500 0.500 0.000
Cl: 0.375 0.221 0.346
Cl: 0.779 0.125 0.154
Cl: 0.875 0.029 0.654
Cl: 0.971 0.625 0.846

Summary:
- magnetic moment (μB per formula unit) = 0.6
- raw formation energy (kJ/mol of formula units) = 232
- raw total energy (eV for the cell shown) = -189.499

***

(3)
DFT (meta-GGA SCAN) results for Cu3C at its PBEsol-relaxed geometry.

Unit cell a=3.406 b=3.406 c=3.406 alpha=90.00 beta=90.00 gamma=90.00
Sites, in units of the cell vectors:
Cu: 0.000 0.000 0.500
Cu: 0.000 0.500 0.000
Cu: 0.500 0.000 0.000
C: 0.500 0.500 0.500

Summary:
- ΔH_f (0 K) (eV per atom) = 1.0421
- magnetic moment (μB per formula unit) = 0.0
- raw total energy (eV for the cell shown) = -51.529

***

Q: What is the formula in the third record?
A: Cu3C

***

Q: Which of these has the lowest raw total energy?
A: IrCCl2

***

Q: What is the magnetic moment in the second record?
A: 0.6 μB per formula unit

***

Copy entry 2 word for word.
DFT (meta-GGA SCAN) results for IrCCl2 at its PBEsol-relaxed geometry.

Unit cell a=6.609 b=6.609 c=6.609 alpha=94.79 beta=94.79 gamma=146.42
Sites, in units of the cell vectors:
Ir: 0.000 0.000 0.000
Ir: 0.750 0.250 0.500
C: 0.250 0.750 0.500
C: 0.500 0.500 0.000
Cl: 0.375 0.221 0.346
Cl: 0.779 0.125 0.154
Cl: 0.875 0.029 0.654
Cl: 0.971 0.625 0.846

Summary:
- magnetic moment (μB per formula unit) = 0.6
- raw formation energy (kJ/mol of formula units) = 232
- raw total energy (eV for the cell shown) = -189.499